# 1
First-principles (GGA-PBE) data for a relaxed structure of TePtW2, as listed in the Alexandria database.

abc: 3.287 4.666 9.023
angles: 90.00 90.00 90.00
Space group Imm2 (No. 44)
Unique sites:
Te 0.000 0.000 0.000
Pt 0.000 0.500 0.739
W 0.000 0.000 0.510
W 0.000 0.500 0.255

=====

# 2
First-principles (GGA-PBE) data for a relaxed structure of TePtW2, as listed in the Alexandria database.

abc: 9.422 3.258 4.724
angles: 90.00 96.55 90.00
Space group C2/m (No. 12)
Unique sites:
Te 0.000 0.000 0.000
Pt 0.000 0.500 0.500
W 0.237 0.000 0.713

=====

Number 1: raw total energy -8.267 eV per atom, volume 138 Å³ per cell. Number 2: raw total energy -8.327 eV per atom, volume 144 Å³ per cell.